(1)
The following is a DFT calculation (PBE-GGA) of crystalline Hf2NbAuN at its relaxed geometry.

## Properties
formation energy without anion corrections	-0.8256	eV/atom
mass density	13.182	g/cm3
calculated total energy	-9.141	eV per atom

a b c (Å): 4.4550 4.4550 4.1944
angles (deg): 90.00 90.00 90.00
With the nearest neighbours (Å) after each atom.
Positions (direct):
Hf  0.0000  0.5000  0.0000  2 N 2.23
Hf  0.5000  0.0000  0.0000  2 N 2.23
Nb  0.0000  0.0000  0.5000  2 N 2.10
Au  0.5000  0.5000  0.5000  8 Hf 3.06, 4 Nb 3.15
N  0.0000  0.0000  0.0000  2 Nb 2.10, 4 Hf 2.23

***

(2)
The following is a DFT calculation (PBE-GGA) of crystalline Tb2Nd3Y5 at its relaxed geometry.

## Properties
mass density	5.815	g/cm3
relative energy among the computed polymorphs	0.0758	eV per atom
energy of formation from the pure elements	0.257	eV/atom
calculated total energy	-5.332	eV per atom

a b c (Å): 11.0953 11.0953 11.0953
angles (deg): 119.71 72.18 144.14
With the nearest neighbours (Å) after each atom.
Positions (direct):
Tb  0.0248  0.2353  0.2601  3 Y 3.16-3.44, 2 Nd 3.16, 2 Tb 3.53
Tb  0.4752  0.7353  0.2105  3 Y 3.16-3.44, 2 Nd 3.16, 2 Tb 3.53
Tb  0.5248  0.2647  0.7895  3 Y 3.16-3.44, 2 Nd 3.16, 2 Tb 3.53
Tb  0.9752  0.7647  0.7399  3 Y 3.16-3.44, 2 Nd 3.16, 2 Tb 3.53
Nd  0.1700  0.7086  0.8786  6 Y 3.47-3.67, 1 Tb 3.55
Nd  0.2500  0.2500  0.0000  4 Tb 3.16, 2 Y 3.24, 2 Nd 3.42
Nd  0.3300  0.2086  0.5386  6 Y 3.47-3.67, 1 Tb 3.55
Nd  0.6700  0.7914  0.4614  6 Y 3.47-3.67, 1 Tb 3.55
Nd  0.7500  0.7500  0.0000  4 Tb 3.16, 2 Y 3.24, 2 Nd 3.42
Nd  0.8300  0.2914  0.1214  6 Y 3.47-3.67, 1 Tb 3.55
Y  0.0691  0.2500  0.8191  1 Nd 3.24, 4 Y 3.39-3.42
Y  0.1691  0.3975  0.5665  1 Tb 3.16, 2 Y 3.39, 1 Nd 3.47
Y  0.2500  0.7500  0.5000  6 Y 3.42-3.66, 4 Tb 3.44
Y  0.3309  0.8975  0.2284  1 Tb 3.16, 2 Y 3.39, 1 Nd 3.47
Y  0.4309  0.2500  0.1809  1 Nd 3.24, 4 Y 3.39-3.42
Y  0.5691  0.7500  0.8191  1 Nd 3.24, 4 Y 3.39-3.42
Y  0.6691  0.1025  0.7716  1 Tb 3.16, 2 Y 3.39, 1 Nd 3.47
Y  0.7500  0.2500  0.5000  6 Y 3.42-3.66, 4 Tb 3.44
Y  0.8309  0.6025  0.4335  1 Tb 3.16, 2 Y 3.39, 1 Nd 3.47
Y  0.9309  0.7500  0.1809  1 Nd 3.24, 4 Y 3.39-3.42